Er12Ga6H (PBE, optimized geometry); uncorrected energy = -82.83 eV/f.u.; size of the total moment = 0.00 Bohr magnetons per cell; density of states at the Fermi level = 14.514 states/eV per cell; SG = No. 148
1.0
5.691 3.286 4.243
-5.691 3.286 4.243
0.000 -6.571 4.243
Er Ga H
12 6 1
direct
0.042 0.696 0.923 Er
0.077 0.958 0.304 Er
0.195 0.542 0.419 Er
0.304 0.077 0.958 Er
0.419 0.195 0.542 Er
0.458 0.581 0.805 Er
0.542 0.419 0.195 Er
0.581 0.805 0.458 Er
0.696 0.923 0.042 Er
0.805 0.458 0.581 Er
0.923 0.042 0.696 Er
0.958 0.304 0.077 Er
0.145 0.356 0.748 Ga
0.252 0.855 0.644 Ga
0.356 0.748 0.145 Ga
0.644 0.252 0.855 Ga
0.748 0.145 0.356 Ga
0.855 0.644 0.252 Ga
0.500 0.500 0.500 H

---

Cd3In2Pb2 (PBE, optimized geometry); uncorrected energy = -15.39 eV/f.u.; E_form = 0.0354 eV per atom; size of the total moment = 0.00 Bohr magnetons per cell; polymorph energy (0 for the lowest one) = 0 meV per atom; density of states at the Fermi level = 6.356 states/eV per cell; SG = No. 12
1.0
11.280 0.000 0.000
0.000 3.418 0.000
-0.445 0.000 9.692
Cd In Pb
6 4 4
direct
0.000 0.000 0.000 Cd
0.204 0.500 0.876 Cd
0.296 0.000 0.124 Cd
0.500 0.500 0.000 Cd
0.704 0.000 0.876 Cd
0.796 0.500 0.124 Cd
0.084 0.500 0.265 In
0.416 0.000 0.735 In
0.584 0.000 0.265 In
0.916 0.500 0.735 In
0.141 0.000 0.587 Pb
0.359 0.500 0.413 Pb
0.641 0.500 0.587 Pb
0.859 0.000 0.413 Pb

---

Ta3Nb4Pd (PBE, optimized geometry); uncorrected energy = -81.60 eV/f.u.; E_form = -0.0715 eV per atom; size of the total moment = 0.00 Bohr magnetons per cell; density of states at the Fermi level = 8.120 states/eV per cell; SG = No. 47
1.0
3.342 0.000 0.000
0.000 4.694 0.000
0.000 0.000 9.120
Ta Nb Pd
3 4 1
direct
0.000 0.000 0.000 Ta
0.000 0.500 0.253 Ta
0.000 0.500 0.747 Ta
0.500 0.000 0.253 Nb
0.500 0.000 0.747 Nb
0.500 0.500 0.000 Nb
0.500 0.500 0.500 Nb
0.000 0.000 0.500 Pd